1.
Crystalline PrNdSm2Y at its relaxed geometry, computed with PBE-GGA.

Calculated values
Space-group type: P2/c, No. 13
Density: 6.31 g cm⁻³
Magnetization: 0.000 μB/atom

abc: 8.3223 6.7937 6.2809
angles: 90.00 90.19 90.00
Element x y z (fractional)
Pr 0.0000 0.0000 0.0000
Pr 0.0000 0.0000 0.5000
Nd 0.5000 0.1622 0.2500
Nd 0.5000 0.8378 0.7500
Sm 0.3044 0.3101 0.7486
Sm 0.3044 0.6899 0.2486
Sm 0.6956 0.3101 0.7514
Sm 0.6956 0.6899 0.2514
Y 0.0000 0.4208 0.2500
Y 0.0000 0.5792 0.7500

2.
Crystalline PrNdSm3Y at its relaxed geometry, computed with PBE-GGA.

Calculated values
Space-group type: C2/m, No. 12
Density: 6.61 g cm⁻³
Magnetization: 0.000 μB/atom

abc: 10.5946 10.5946 6.9897
angles: 90.07 90.07 31.88
Element x y z (fractional)
Pr 0.1453 0.1453 0.0200
Pr 0.8547 0.8547 0.9800
Nd 0.4445 0.4445 0.7408
Nd 0.5555 0.5555 0.2592
Sm 0.0188 0.0188 0.7430
Sm 0.2808 0.2808 0.7573
Sm 0.3364 0.3364 0.2662
Sm 0.6636 0.6636 0.7338
Sm 0.7192 0.7192 0.2427
Sm 0.9812 0.9812 0.2570
Y 0.1492 0.1492 0.4643
Y 0.8508 0.8508 0.5357

3.
Crystalline Pr2NdSm6Y at its relaxed geometry, computed with PBE-GGA.

Calculated values
Space-group type: C2/c, No. 15
Density: 6.79 g cm⁻³
Magnetization: 0.000 μB/atom

abc: 8.9567 8.9567 9.9201
angles: 94.48 94.48 118.26
Element x y z (fractional)
Pr 0.1954 0.2966 0.0416
Pr 0.2966 0.1954 0.5416
Pr 0.7034 0.8046 0.4584
Pr 0.8046 0.7034 0.9584
Nd 0.0179 0.9821 0.2500
Nd 0.9821 0.0179 0.7500
Sm 0.0191 0.5730 0.1868
Sm 0.1213 0.7445 0.5557
Sm 0.2555 0.8787 0.9443
Sm 0.2940 0.5051 0.3796
Sm 0.4270 0.9809 0.3132
Sm 0.4949 0.7060 0.1204
Sm 0.5051 0.2940 0.8796
Sm 0.5730 0.0191 0.6868
Sm 0.7060 0.4949 0.6204
Sm 0.7445 0.1213 0.0557
Sm 0.8787 0.2555 0.4443
Sm 0.9809 0.4270 0.8132
Y 0.4073 0.5927 0.7500
Y 0.5927 0.4073 0.2500

4.
Crystalline Pr2NdSm5Y at its relaxed geometry, computed with PBE-GGA.

Calculated values
Space-group type: I4/mcm, No. 140
Density: 6.73 g cm⁻³
Magnetization: 0.000 μB/atom

abc: 10.1669 10.1669 10.1669
angles: 128.54 128.54 75.76
Element x y z (fractional)
Pr 0.1185 0.6185 0.7370
Pr 0.3815 0.1185 0.5000
Pr 0.6185 0.8815 0.5000
Pr 0.8815 0.3815 0.2630
Nd 0.2500 0.2500 0.0000
Nd 0.7500 0.7500 0.0000
Sm 0.0000 0.0000 0.0000
Sm 0.0729 0.1478 0.5000
Sm 0.1478 0.6478 0.0749
Sm 0.3522 0.4271 0.5000
Sm 0.4271 0.9271 0.0749
Sm 0.5000 0.5000 0.0000
Sm 0.5729 0.0729 0.9251
Sm 0.6478 0.5729 0.5000
Sm 0.8522 0.3522 0.9251
Sm 0.9271 0.8522 0.5000
Y 0.2500 0.7500 0.5000
Y 0.7500 0.2500 0.5000

5.
Crystalline Pr2Nd2SmY2 at its relaxed geometry, computed with PBE-GGA.

Calculated values
Space-group type: C2/m, No. 12
Density: 6.18 g cm⁻³
Magnetization: 0.000 μB/atom

abc: 11.5522 5.1673 8.1712
angles: 90.00 98.10 90.00
Element x y z (fractional)
Pr 0.1430 0.0000 0.4280
Pr 0.3570 0.5000 0.5720
Pr 0.6430 0.5000 0.4280
Pr 0.8570 0.0000 0.5720
Nd 0.0708 0.5000 0.7175
Nd 0.4292 0.0000 0.2825
Nd 0.5708 0.0000 0.7175
Nd 0.9292 0.5000 0.2825
Sm 0.0000 0.0000 0.0000
Sm 0.5000 0.5000 0.0000
Y 0.2147 0.5000 0.1403
Y 0.2853 0.0000 0.8597
Y 0.7147 0.0000 0.1403
Y 0.7853 0.5000 0.8597

6.
Crystalline PrNd2SmY5 at its relaxed geometry, computed with PBE-GGA.

Calculated values
Space-group type: I4/mcm, No. 140
Density: 5.62 g cm⁻³
Magnetization: 0.000 μB/atom

abc: 9.9969 9.9969 9.9969
angles: 127.81 127.81 76.92
Element x y z (fractional)
Pr 0.2500 0.2500 0.0000
Pr 0.7500 0.7500 0.0000
Nd 0.1170 0.6170 0.7340
Nd 0.3830 0.1170 0.5000
Nd 0.6170 0.8830 0.5000
Nd 0.8830 0.3830 0.2660
Sm 0.2500 0.7500 0.5000
Sm 0.7500 0.2500 0.5000
Y 0.0000 0.0000 0.0000
Y 0.0717 0.1550 0.5000
Y 0.1550 0.6550 0.0832
Y 0.3450 0.4283 0.5000
Y 0.4283 0.9283 0.0832
Y 0.5000 0.5000 0.0000
Y 0.5717 0.0717 0.9168
Y 0.6550 0.5717 0.5000
Y 0.8450 0.3450 0.9168
Y 0.9283 0.8450 0.5000

7.
Crystalline Pr6NdSmY2 at its relaxed geometry, computed with PBE-GGA.

Calculated values
Space-group type: C2/c, No. 15
Density: 6.17 g cm⁻³
Magnetization: 0.000 μB/atom

abc: 9.0445 9.0445 9.7871
angles: 93.77 93.77 116.80
Element x y z (fractional)
Pr 0.0119 0.5639 0.1846
Pr 0.1088 0.7599 0.5577
Pr 0.2401 0.8912 0.9423
Pr 0.2963 0.5162 0.3818
Pr 0.4361 0.9881 0.3154
Pr 0.4838 0.7037 0.1182
Pr 0.5162 0.2963 0.8818
Pr 0.5639 0.0119 0.6846
Pr 0.7037 0.4838 0.6182
Pr 0.7599 0.1088 0.0577
Pr 0.8912 0.2401 0.4423
Pr 0.9881 0.4361 0.8154
Nd 0.4072 0.5928 0.7500
Nd 0.5928 0.4072 0.2500
Sm 0.0329 0.9671 0.2500
Sm 0.9671 0.0329 0.7500
Y 0.1985 0.2914 0.0494
Y 0.2914 0.1985 0.5494
Y 0.7086 0.8015 0.4506
Y 0.8015 0.7086 0.9506

8.
Crystalline Pr2NdSm3Y6 at its relaxed geometry, computed with PBE-GGA.

Calculated values
Space-group type: C2/m, No. 12
Density: 5.85 g cm⁻³
Magnetization: 0.000 μB/atom

abc: 6.2820 6.2820 11.8918
angles: 95.03 95.03 119.99
Element x y z (fractional)
Pr 0.1666 0.8334 0.0000
Pr 0.8334 0.1666 0.0000
Nd 0.5000 0.5000 0.0000
Sm 0.0000 0.0000 0.5000
Sm 0.3333 0.6667 0.5000
Sm 0.6667 0.3333 0.5000
Y 0.0828 0.4160 0.7483
Y 0.2509 0.2509 0.2518
Y 0.4160 0.0828 0.7483
Y 0.5840 0.9172 0.2517
Y 0.7491 0.7491 0.7482
Y 0.9172 0.5840 0.2517

9.
Crystalline PrNdSm2Y6 at its relaxed geometry, computed with PBE-GGA.

Calculated values
Space-group type: C2/c, No. 15
Density: 5.52 g cm⁻³
Magnetization: 0.000 μB/atom

abc: 8.8350 8.8350 9.8600
angles: 94.93 94.93 117.45
Element x y z (fractional)
Pr 0.0196 0.9804 0.7500
Pr 0.9804 0.0196 0.2500
Nd 0.4059 0.5941 0.2500
Nd 0.5941 0.4059 0.7500
Sm 0.1911 0.2897 0.5449
Sm 0.2897 0.1911 0.0449
Sm 0.7103 0.8089 0.9551
Sm 0.8089 0.7103 0.4551
Y 0.0228 0.5725 0.6824
Y 0.1186 0.7417 0.0570
Y 0.2583 0.8814 0.4430
Y 0.2981 0.5087 0.8817
Y 0.4275 0.9772 0.8176
Y 0.4913 0.7019 0.6183
Y 0.5087 0.2981 0.3817
Y 0.5725 0.0228 0.1824
Y 0.7019 0.4913 0.1183
Y 0.7417 0.1186 0.5570
Y 0.8814 0.2583 0.9430
Y 0.9772 0.4275 0.3176

10.
Crystalline Pr2NdSmY at its relaxed geometry, computed with PBE-GGA.

Calculated values
Space-group type: P2/c, No. 13
Density: 6.20 g cm⁻³
Magnetization: 0.000 μB/atom

abc: 8.2061 6.8847 6.3088
angles: 90.00 90.27 90.00
Element x y z (fractional)
Pr 0.1962 0.1927 0.2517
Pr 0.1962 0.8073 0.7517
Pr 0.8038 0.1927 0.2483
Pr 0.8038 0.8073 0.7483
Nd 0.5000 0.5000 0.0000
Nd 0.5000 0.5000 0.5000
Sm 0.5000 0.0816 0.7500
Sm 0.5000 0.9184 0.2500
Y 0.0000 0.3433 0.7500
Y 0.0000 0.6567 0.2500

11.
Crystalline Pr2Nd3SmY6 at its relaxed geometry, computed with PBE-GGA.

Calculated values
Space-group type: C2/m, No. 12
Density: 5.77 g cm⁻³
Magnetization: 0.000 μB/atom

abc: 6.2985 6.2985 11.9045
angles: 95.04 95.04 119.99
Element x y z (fractional)
Pr 0.1665 0.8335 0.0000
Pr 0.8335 0.1665 0.0000
Nd 0.0000 0.0000 0.5000
Nd 0.3332 0.6667 0.5000
Nd 0.6667 0.3332 0.5000
Sm 0.5000 0.5000 0.0000
Y 0.0836 0.4167 0.7499
Y 0.2505 0.2505 0.2502
Y 0.4167 0.0836 0.7499
Y 0.5833 0.9164 0.2501
Y 0.7495 0.7495 0.7498
Y 0.9164 0.5833 0.2501

12.
Crystalline Pr2Nd2Sm4Y at its relaxed geometry, computed with PBE-GGA.

Calculated values
Space-group type: C2/m, No. 12
Density: 6.71 g cm⁻³
Magnetization: 0.000 μB/atom

abc: 9.7393 9.7393 9.8230
angles: 115.16 115.16 21.81
Element x y z (fractional)
Pr 0.1476 0.1476 0.1660
Pr 0.8524 0.8524 0.8340
Nd 0.3345 0.3345 0.4999
Nd 0.6655 0.6655 0.5001
Sm 0.1847 0.1847 0.8326
Sm 0.4814 0.4814 0.1699
Sm 0.5186 0.5186 0.8301
Sm 0.8153 0.8153 0.1674
Y 0.0000 0.0000 0.5000

Number 1: Fermi-level density of states 12.82 states/eV per cell, calculated volume 355.1 Å³/cell, uncorrected energy -4.82 eV per atom. Number 2: Fermi-level density of states 17.88 states/eV per cell, calculated volume 414.3 Å³/cell, uncorrected energy -4.85 eV per atom. Number 3: Fermi-level density of states 29.35 states/eV per cell, calculated volume 692.8 Å³/cell, uncorrected energy -4.80 eV per atom. Number 4: Fermi-level density of states 26.20 states/eV per cell, calculated volume 625.4 Å³/cell, uncorrected energy -4.67 eV per atom. Number 5: Fermi-level density of states 20.61 states/eV per cell, calculated volume 482.9 Å³/cell, uncorrected energy -5.23 eV per atom. Number 6: Fermi-level density of states 20.03 states/eV per cell, calculated volume 605.3 Å³/cell, uncorrected energy -5.47 eV per atom. Number 7: Fermi-level density of states 30.50 states/eV per cell, calculated volume 708.9 Å³/cell, uncorrected energy -5.00 eV per atom. Number 8: Fermi-level density of states 14.60 states/eV per cell, calculated volume 400.2 Å³/cell, uncorrected energy -5.60 eV per atom. Number 9: Fermi-level density of states 32.33 states/eV per cell, calculated volume 673.6 Å³/cell, uncorrected energy -5.66 eV per atom. Number 10: Fermi-level density of states 13.02 states/eV per cell, calculated volume 356.4 Å³/cell, uncorrected energy -4.86 eV per atom. Number 11: Fermi-level density of states 14.16 states/eV per cell, calculated volume 402.7 Å³/cell, uncorrected energy -5.61 eV per atom. Number 12: Fermi-level density of states 11.78 states/eV per cell, calculated volume 312.0 Å³/cell, uncorrected energy -4.93 eV per atom.